First-principles (PBE) data for an optimized crystal structure of La2DyTmP4, as listed in the Alexandria database.

Cell lengths 7.144, 4.130, 7.148 Å; angles 90.00, 109.47, 90.00 degrees
Element x y z (fractional)
La: 0.000 0.000 0.000
La: 0.000 0.500 0.500
Dy: 0.500 0.000 0.500
Tm: 0.500 0.500 0.000
P: 0.265 0.500 0.253
P: 0.266 0.000 0.757
P: 0.734 0.000 0.243
P: 0.735 0.500 0.747

Properties
**Space group**: P2/m, No. 10
**DFT total energy**: -6.65 eV/atom